Below is a relaxed K2CuTe2 crystal, with properties calculated at the PBE-GGA level.

a = 17.016 Å, b = 6.666 Å, c = 10.388 Å
α = 90.00°, β = 127.25°, γ = 90.00°
Space group C2/m (No. 12)
Symmetry-distinct sites (fractional):
K 0.049 0.000 0.276 (multiplicity 4)
K 0.208 0.500 0.072 (multiplicity 4)
Cu 0.145 0.500 0.666 (multiplicity 4)
Te 0.015 0.500 0.364 (multiplicity 4)
Te 0.175 0.000 0.116 (multiplicity 4)

Results
energy: -3.112 eV per atom
uncorrected formation energy: -597 meV per atom